A plane-wave DFT calculation with PBE was carried out for a relaxed PrErMn4Co13 crystal.

Results
Theoretical density: 8.5 g/cm³
DFT formation energy: -0.017 eV per atom
VASP energy: -7.30 eV/atom
Magnetic moment: 1.557 μB per atom

Geometry as CIF:
```
data_PrErMn4Co13
_chemical_formula_sum 'Pr2 Er2 Mn8 Co26'
_cell_length_a 9.5659
_cell_length_b 8.4501
_cell_length_c 6.3246
_cell_angle_alpha 90.00
_cell_angle_beta 100.01
_cell_angle_gamma 90.00
_symmetry_space_group_name_H-M 'C 1 m 1'
_symmetry_Int_Tables_number 8
loop_
_symmetry_equiv_pos_as_xyz
'x,y,z'
'x,-y,z'
'x+1/2,y+1/2,z'
'x+1/2,-y+1/2,z'
loop_
_atom_site_label
_atom_site_type_symbol
_atom_site_fract_x
_atom_site_fract_y
_atom_site_fract_z
Pr1 Pr 0.0000 0.0000 0.0000
Er1 Er 0.1965 0.5000 0.3160
Mn1 Mn 0.1000 0.2509 0.6551
Mn2 Mn 0.2509 0.0000 0.7636
Mn3 Mn 0.4500 0.0000 0.5478
Co1 Co 0.0053 0.0000 0.4998
Co2 Co 0.1907 0.5000 0.8127
Co3 Co 0.2061 0.1441 0.3660
Co4 Co 0.2529 0.2513 0.0045
Co5 Co 0.3492 0.2829 0.6554
Co6 Co 0.3508 0.0000 0.1571
Co7 Co 0.4443 0.2499 0.3115
Co8 Co 0.4938 0.1424 0.9480
```